Record 1
The following is a DFT calculation (PBE-GGA) of Ca2BN3 after structural relaxation.

Unit cell a=5.6658 b=5.6658 c=6.2649 alpha=90.00 beta=90.00 gamma=120.00
Closest atoms and distances in Å follow each position.
Space group P-3m1 (No. 164)
One atom of each set of equivalent atoms:
1 Ca 0.0000 0.0000 0.0000 (multiplicity 1)  6 N 2.36
2 Ca 0.0000 0.0000 0.5000 (multiplicity 1)  6 N 2.50
3 Ca 0.3333 0.6667 0.1492 (multiplicity 2)  1 B 2.57, 3 N 2.78
4 B 0.3333 0.6667 0.7392 (multiplicity 2)  3 N 1.43
5 N 0.1888 0.3777 0.7674 (multiplicity 6)  1 B 1.43

Results
Total moment = 0.000 Bohr magnetons per cell
E_form (uncorrected) = -571 meV per atom

***

Record 2
The following is a DFT calculation (PBE-GGA) of Zn3Ag3Pb after structural relaxation.

Unit cell a=7.0911 b=7.0911 c=7.0911 alpha=90.00 beta=90.00 gamma=90.00
Closest atoms and distances in Å follow each position.
Space group Pm-3n (No. 223)
One atom of each set of equivalent atoms:
1 Zn 0.0000 0.2500 0.5000 (multiplicity 6)  4 Ag 2.51
2 Ag 0.0000 0.5000 0.2500 (multiplicity 6)  4 Zn 2.51
3 Pb 0.0000 0.0000 0.0000 (multiplicity 2)  12 Zn 3.96, 12 Ag 3.96

Results
Calculated formation energy = 0.45 eV per atom
Total moment = 0.000 Bohr magnetons per cell

***

Record 3
The following is a DFT calculation (PBE-GGA) of K2SrGaN after structural relaxation.

Unit cell a=7.2192 b=7.2192 c=5.7196 alpha=90.00 beta=90.00 gamma=90.00
Closest atoms and distances in Å follow each position.
Space group P4/mmm (No. 123)
One atom of each set of equivalent atoms:
1 K 0.0000 0.5000 0.0000 (multiplicity 2)  2 Sr 3.61
2 Sr 0.0000 0.0000 0.0000 (multiplicity 1)  2 Ga 2.86
3 Ga 0.0000 0.0000 0.5000 (multiplicity 1)  2 Sr 2.86
4 N 0.5000 0.5000 0.5000 (multiplicity 1)  8 K 4.61, 4 Ga 5.10

Results
Total moment = 0.000 Bohr magnetons per cell
E_form (uncorrected) = 1677 meV per atom

***

Record 4
The following is a DFT calculation (PBE-GGA) of MnPd3N after structural relaxation.

Unit cell a=4.4957 b=4.4957 c=4.4957 alpha=90.00 beta=90.00 gamma=90.00
Closest atoms and distances in Å follow each position.
Space group Pm-3m (No. 221)
One atom of each set of equivalent atoms:
1 Mn 0.0000 0.0000 0.0000 (multiplicity 1)  6 Pd 2.25
2 Pd 0.0000 0.0000 0.5000 (multiplicity 3)  2 Mn 2.25
3 N 0.5000 0.5000 0.5000 (multiplicity 1)  12 Pd 3.18

Results
Energy above the most stable polymorph in this dataset = 1873 meV per atom
Total moment = 0.002 Bohr magnetons per cell
E_form (uncorrected) = 2060 meV per atom

***

Record 5
The following is a DFT calculation (PBE-GGA) of Mg2AlB after structural relaxation.

Unit cell a=3.6496 b=3.6496 c=6.2855 alpha=90.00 beta=90.00 gamma=120.00
Closest atoms and distances in Å follow each position.
Space group P3m1 (No. 156)
One atom of each set of equivalent atoms:
1 Mg 0.0000 0.0000 0.0000 (multiplicity 1)  3 B 2.51, 3 Al 2.78
2 Mg 0.3333 0.6667 0.3893 (multiplicity 1)  1 B 2.48
3 Al 0.6667 0.3333 0.7126 (multiplicity 1)  3 B 2.15
4 B 0.3333 0.6667 0.7841 (multiplicity 1)  3 Al 2.15

Results
Calculated formation energy = 0.16 eV per atom
Energy above the most stable polymorph in this dataset = 49 meV per atom
Total moment = 0.000 Bohr magnetons per cell

***

Record 6
The following is a DFT calculation (PBE-GGA) of Pm5Ho3Er3 after structural relaxation.

Unit cell a=11.2086 b=11.2086 c=3.4389 alpha=90.00 beta=90.00 gamma=120.00
Closest atoms and distances in Å follow each position.
Space group P-62m (No. 189)
One atom of each set of equivalent atoms:
1 Pm 0.0000 0.6612 0.0000 (multiplicity 3)  2 Er 3.29, 2 Ho 3.35, 2 Pm 3.44
2 Pm 0.3333 0.6667 0.0000 (multiplicity 2)  5 Pm 3.44-3.71, 6 Ho 3.82
3 Ho 0.0000 0.4048 0.5000 (multiplicity 3)  2 Er 3.24, 2 Pm 3.35, 2 Ho 3.44
4 Er 0.0000 0.1594 0.0000 (multiplicity 3)  4 Er 3.09-3.44, 2 Ho 3.24, 2 Pm 3.29

Results
Calculated formation energy = 0.32 eV per atom
Energy above the most stable polymorph in this dataset = 0 meV per atom
Total moment = 0.000 Bohr magnetons per cell